Entry 1:
Compound: Cr5Rh
Source: Alexandria
Functional: PBE-GGA
Structure: relaxed

a b c (Å): 4.709 4.709 4.709
angles (deg): 60.00 60.00 60.00
Site moments in Bohr magnetons follow the coordinates.
Fractional coordinates of all 6 atoms:
Cr1 0.377 0.870 0.377  -0.12
Cr2 0.377 0.377 0.377  -0.12
Cr3 0.870 0.377 0.377  -0.12
Cr4 0.750 0.750 0.750  1.21
Cr5 0.377 0.377 0.870  -0.12
Rh1 0.000 0.000 0.000  0.06

Calculated values
**Symmetry**: F-43m
**ΔE_f**: 0.12 eV per atom

=====

Entry 2:
Compound: Cr3Rh4
Source: Alexandria
Functional: PBE-GGA
Structure: relaxed

a b c (Å): 3.766 4.629 7.046
angles (deg): 57.58 74.51 65.99
Site moments in Bohr magnetons follow the coordinates.
Fractional coordinates of all 7 atoms:
Cr1 0.000 0.000 0.000  -1.97
Cr2 0.291 0.268 0.151  1.75
Cr3 0.709 0.732 0.849  1.75
Rh1 0.421 0.423 0.735  -0.07
Rh2 0.141 0.136 0.581  -0.04
Rh3 0.579 0.577 0.265  -0.07
Rh4 0.859 0.864 0.419  -0.04

Calculated values
**Symmetry**: C2/m
**ΔE_f**: -0.04 eV per atom

=====

Entry 3:
Compound: Cr5Rh
Source: Alexandria
Functional: PBE-GGA
Structure: relaxed

a b c (Å): 5.008 5.008 6.315
angles (deg): 75.54 75.54 28.79
Fractional coordinates of all 6 atoms:
Rh1 0.275 0.275 0.952
Cr1 0.334 0.334 0.328
Cr2 0.594 0.594 0.286
Cr3 0.678 0.678 0.657
Cr4 0.948 0.948 0.626
Cr5 0.005 0.005 0.984

Calculated values
**Symmetry**: Cm
**ΔE_f**: 0.23 eV per atom

=====

Entry 4:
Compound: Cr3Rh4
Source: Alexandria
Functional: PBE-GGA
Structure: relaxed

a b c (Å): 4.669 4.669 4.896
angles (deg): 90.00 90.00 60.00
Fractional coordinates of all 7 atoms:
Rh1 0.000 0.000 0.746
Rh2 0.333 0.333 0.500
Rh3 0.667 0.667 0.500
Rh4 0.000 0.000 0.254
Cr1 0.500 0.500 0.000
Cr2 0.000 0.500 0.000
Cr3 0.500 0.000 0.000

Calculated values
**Symmetry**: P6/mmm
**ΔE_f**: -0.01 eV per atom

=====

Entry 5:
Compound: Cr3Rh7
Source: Alexandria
Functional: PBE-GGA
Structure: relaxed

a b c (Å): 3.808 5.357 7.986
angles (deg): 119.13 103.79 90.00
Site moments in Bohr magnetons follow the coordinates.
Fractional coordinates of all 10 atoms:
Rh1 0.605 0.898 0.209  -0.23
Rh2 0.395 0.102 0.791  -0.23
Rh3 0.599 0.394 0.199  -0.21
Rh4 0.797 0.709 0.594  -0.22
Rh5 0.401 0.606 0.801  -0.21
Rh6 0.203 0.291 0.406  -0.22
Rh7 0.000 0.500 0.000  -0.24
Cr1 0.000 0.000 0.000  2.22
Cr2 0.804 0.217 0.608  1.81
Cr3 0.196 0.783 0.392  1.81

Calculated values
**Symmetry**: C2/m
**ΔE_f**: -0.10 eV per atom

=====

Entry 6:
Compound: Cr4Rh3
Source: Alexandria
Functional: PBE-GGA
Structure: relaxed

a b c (Å): 11.042 11.042 11.042
angles (deg): 164.88 164.88 21.44
Site moments in Bohr magnetons follow the coordinates.
Fractional coordinates of all 7 atoms:
Cr1 0.423 0.423 0.000  1.31
Cr2 0.132 0.132 0.000  -1.16
Cr3 0.868 0.868 0.000  -1.16
Cr4 0.577 0.577 0.000  1.31
Rh1 0.706 0.706 0.000  -0.11
Rh2 0.294 0.294 0.000  -0.11
Rh3 0.000 0.000 0.000  0.25

Calculated values
**Symmetry**: I4/mmm
**ΔE_f**: 0.08 eV per atom

=====

Entry 7:
Compound: Cr3Rh4
Source: Alexandria
Functional: PBE-GGA
Structure: relaxed

a b c (Å): 2.676 2.676 13.037
angles (deg): 95.89 95.89 90.00
Fractional coordinates of all 7 atoms:
Rh1 0.567 0.567 0.134
Rh2 0.851 0.851 0.702
Rh3 0.433 0.433 0.866
Rh4 0.149 0.149 0.298
Cr1 0.715 0.715 0.430
Cr2 0.000 0.000 0.000
Cr3 0.285 0.285 0.570

Calculated values
**Symmetry**: I4/mmm
**ΔE_f**: -0.04 eV per atom

=====

Entry 8:
Compound: Cr4Rh3
Source: Alexandria
Functional: PBE-GGA
Structure: relaxed

a b c (Å): 5.061 5.061 4.429
angles (deg): 90.00 90.00 120.00
Site moments in Bohr magnetons follow the coordinates.
Fractional coordinates of all 7 atoms:
Rh1 0.500 0.000 0.000  -0.04
Rh2 0.000 0.500 0.000  -0.04
Rh3 0.500 0.500 0.000  -0.04
Cr1 0.667 0.333 0.500  2.78
Cr2 0.000 0.000 0.722  -0.59
Cr3 0.000 0.000 0.278  -0.59
Cr4 0.333 0.667 0.500  2.78

Calculated values
**Symmetry**: P6/mmm
**ΔE_f**: 0.19 eV per atom

=====

Entry 9:
Compound: CrRu4Rh
Source: Alexandria
Functional: PBE-GGA
Structure: relaxed

a b c (Å): 5.050 5.050 5.050
angles (deg): 60.00 60.00 60.00
Site moments in Bohr magnetons follow the coordinates.
Fractional coordinates of all 6 atoms:
Ru1 0.375 0.375 0.375  -0.75
Ru2 0.876 0.375 0.375  -0.75
Ru3 0.375 0.375 0.876  -0.75
Ru4 0.375 0.876 0.375  -0.75
Cr1 0.750 0.750 0.750  2.92
Rh1 0.000 0.000 0.000  -0.54

Calculated values
**Symmetry**: F-43m
**ΔE_f**: 0.54 eV per atom

=====

Entry 10:
Compound: Cr3RuRh3
Source: Alexandria
Functional: PBE-GGA
Structure: relaxed

a b c (Å): 7.279 7.279 7.279
angles (deg): 90.00 90.00 90.00
Site moments in Bohr magnetons follow the coordinates.
Fractional coordinates of all 28 atoms:
Cr1 0.430 0.729 0.343  0.41
Cr2 0.729 0.343 0.430  0.41
Cr3 0.570 0.229 0.157  0.41
Cr4 0.771 0.657 0.930  0.41
Cr5 0.343 0.430 0.729  0.41
Cr6 0.843 0.070 0.271  0.41
Cr7 0.070 0.271 0.843  0.41
Cr8 0.157 0.570 0.229  0.41
Cr9 0.657 0.930 0.771  0.41
Cr10 0.271 0.843 0.070  0.41
Cr11 0.930 0.771 0.657  0.41
Cr12 0.229 0.157 0.570  0.41
Rh1 0.809 0.691 0.309  0.02
Rh2 0.378 0.122 0.878  0.08
Rh3 0.622 0.622 0.622  0.08
Rh4 0.878 0.378 0.122  0.08
Rh5 0.122 0.878 0.378  0.08
Rh6 0.025 0.475 0.525  0.01
Rh7 0.309 0.809 0.691  0.02
Rh8 0.191 0.191 0.191  0.02
Rh9 0.525 0.025 0.475  0.01
Rh10 0.475 0.525 0.025  0.01
Rh11 0.975 0.975 0.975  0.01
Rh12 0.691 0.309 0.809  0.02
Ru1 0.597 0.903 0.097  -0.09
Ru2 0.097 0.597 0.903  -0.09
Ru3 0.403 0.403 0.403  -0.09
Ru4 0.903 0.097 0.597  -0.09

Calculated values
**Symmetry**: P2_13
**ΔE_f**: 0.18 eV per atom

=====

Entry 11:
Compound: CrRuRh6
Source: Alexandria
Functional: PBE-GGA
Structure: relaxed

a b c (Å): 3.835 5.396 5.396
angles (deg): 90.01 90.00 90.00
Site moments in Bohr magnetons follow the coordinates.
Fractional coordinates of all 8 atoms:
Rh1 0.000 0.751 0.751  -0.13
Rh2 0.000 0.249 0.249  -0.13
Rh3 0.000 0.249 0.751  -0.13
Rh4 0.500 0.000 0.500  -0.09
Rh5 0.500 0.500 0.000  -0.09
Rh6 0.000 0.751 0.249  -0.13
Ru1 0.500 0.500 0.500  0.15
Cr1 0.500 0.000 0.000  2.16

Calculated values
**Symmetry**: P4/mmm
**ΔE_f**: -0.03 eV per atom

=====

Entry 12:
Compound: CrRuRh
Source: Alexandria
Functional: PBE-GGA
Structure: relaxed

a b c (Å): 4.649 4.649 4.649
angles (deg): 146.73 132.88 58.91
Fractional coordinates of all 3 atoms:
Ru1 0.659 0.659 0.000
Rh1 0.336 0.336 0.000
Cr1 0.004 0.004 0.000

Calculated values
**Symmetry**: Imm2
**ΔE_f**: 0.06 eV per atom

=====

Entry 13:
Compound: CrRu2Rh2
Source: Alexandria
Functional: PBE-GGA
Structure: relaxed

a b c (Å): 5.971 3.795 8.397
angles (deg): 90.00 45.77 90.00
Fractional coordinates of all 10 atoms:
Ru1 0.490 0.750 0.241
Ru2 0.510 0.250 0.759
Ru3 0.906 0.750 0.449
Ru4 0.094 0.250 0.551
Rh1 0.703 0.250 0.350
Rh2 0.883 0.250 0.951
Rh3 0.117 0.750 0.049
Rh4 0.297 0.750 0.650
Cr1 0.708 0.750 0.846
Cr2 0.292 0.250 0.154

Calculated values
**Symmetry**: P2_1/m
**ΔE_f**: 0.02 eV per atom